# 1
The following is a DFT calculation (PBE) of a relaxed TmScCoAg crystal.

Calculated values
relative energy among the computed polymorphs	0.34	eV per formula unit
ΔH_f (0 K)	-0.2182	eV/atom
SG	No. 216

Unit cell a=4.7638 b=4.7638 c=4.7638 alpha=60.00 beta=60.00 gamma=60.00
Last column: magnetic moment on the atom in μB.
Atoms (fractional coordinates):
Sc  0.0000  0.0000  0.0000  -0.10
Ag  0.7500  0.7500  0.7500  0.00
Co  0.2500  0.2500  0.2500  0.59
Tm  0.5000  0.5000  0.5000  -0.09

# 2
The following is a DFT calculation (PBE) of a relaxed YScCoAg crystal.

Calculated values
ΔH_f (0 K)	-0.1813	eV/atom
SG	No. 216

Unit cell a=4.8123 b=4.8123 c=4.8123 alpha=60.00 beta=60.00 gamma=60.00
Last column: magnetic moment on the atom in μB.
Atoms (fractional coordinates):
Sc  0.2500  0.2500  0.2500  -0.12
Ag  0.5000  0.5000  0.5000  0.00
Y  0.7500  0.7500  0.7500  -0.07
Co  0.0000  0.0000  0.0000  0.68

# 3
The following is a DFT calculation (PBE) of a relaxed ScZnCoAg crystal.

Calculated values
ΔH_f (0 K)	-0.1118	eV/atom
SG	No. 216

Unit cell a=4.4635 b=4.4635 c=4.4635 alpha=60.00 beta=60.00 gamma=60.00
Last column: magnetic moment on the atom in μB.
Atoms (fractional coordinates):
Sc  0.5000  0.5000  0.5000  -0.10
Ag  0.2500  0.2500  0.2500  0.01
Zn  0.0000  0.0000  0.0000  -0.01
Co  0.7500  0.7500  0.7500  0.64

# 4
The following is a DFT calculation (PBE) of a relaxed Sc2Zn5Co2Ag crystal.

Calculated values
ΔH_f (0 K)	-0.2229	eV/atom
SG	No. 127

Unit cell a=4.0579 b=8.7472 c=8.7472 alpha=90.00 beta=90.00 gamma=90.00
Atoms (fractional coordinates):
Ag  0.0000  0.0000  0.0000
Ag  0.0000  0.5000  0.5000
Zn  0.5000  0.5703  0.7098
Zn  0.5000  0.4297  0.2902
Zn  0.5000  0.7098  0.4297
Zn  0.5000  0.0000  0.5000
Zn  0.5000  0.2098  0.0703
Zn  0.5000  0.5000  0.0000
Zn  0.5000  0.0703  0.7902
Zn  0.5000  0.9297  0.2098
Zn  0.5000  0.2902  0.5703
Zn  0.5000  0.7902  0.9297
Sc  0.0000  0.8273  0.6727
Sc  0.0000  0.6727  0.1727
Sc  0.0000  0.3273  0.8273
Sc  0.0000  0.1727  0.3273
Co  0.0000  0.1185  0.6185
Co  0.0000  0.3815  0.1185
Co  0.0000  0.6185  0.8815
Co  0.0000  0.8815  0.3815

# 5
The following is a DFT calculation (PBE) of a relaxed ZrScCoAg crystal.

Calculated values
ΔH_f (0 K)	-0.1454	eV/atom
SG	No. 216

Unit cell a=4.6788 b=4.6788 c=4.6788 alpha=60.00 beta=60.00 gamma=60.00
Last column: magnetic moment on the atom in μB.
Atoms (fractional coordinates):
Ag  0.2500  0.2500  0.2500  -0.01
Co  0.7500  0.7500  0.7500  0.68
Zr  0.0000  0.0000  0.0000  -0.15
Sc  0.5000  0.5000  0.5000  -0.12

# 6
The following is a DFT calculation (PBE) of a relaxed CoAgSe2 crystal.

Calculated values
SG	No. 63
energy relative to the elements, uncorrected	0.07	eV/atom

Unit cell a=11.7224 b=11.7224 c=4.1590 alpha=90.00 beta=90.00 gamma=164.83
Last column: magnetic moment on the atom in μB.
Atoms (fractional coordinates):
Se  0.8910  0.1090  0.2500  0.00
Se  0.7896  0.2104  0.7500  0.01
Se  0.1090  0.8910  0.7500  0.00
Se  0.2104  0.7896  0.2500  0.01
Ag  0.0400  0.9600  0.2500  0.00
Ag  0.9600  0.0400  0.7500  0.00
Co  0.6865  0.3135  0.7500  0.25
Co  0.3135  0.6865  0.2500  0.25

# 7
The following is a DFT calculation (PBE) of a relaxed CoAgSe2 crystal.

Calculated values
SG	No. 15
energy relative to the elements, uncorrected	-0.02	eV/atom

Unit cell a=13.7638 b=5.1265 c=5.1265 alpha=98.46 beta=133.60 gamma=46.40
Last column: magnetic moment on the atom in μB.
Atoms (fractional coordinates):
Se  0.8413  0.2604  0.9623  -0.01
Se  0.1675  0.2270  0.5502  -0.01
Se  0.6675  0.9498  0.2730  0.00
Se  0.3413  0.5377  0.2396  0.00
Co  0.7544  0.8795  0.8920  0.44
Co  0.2544  0.6080  0.6205  0.44
Ag  0.2541  0.1992  0.2108  0.00
Ag  0.7541  0.2892  0.3008  0.00

# 8
The following is a DFT calculation (PBE) of a relaxed CoAg2Se crystal.

Calculated values
SG	No. 99
energy relative to the elements, uncorrected	0.10	eV/atom

Unit cell a=2.9611 b=2.9611 c=7.8432 alpha=90.00 beta=90.00 gamma=90.00
Last column: magnetic moment on the atom in μB.
Atoms (fractional coordinates):
Ag  0.5000  0.5000  0.2785  0.00
Ag  0.0000  0.0000  0.0207  0.00
Co  0.0000  0.0000  0.5300  0.08
Se  0.5000  0.5000  0.6708  0.00

# 9
The following is a DFT calculation (PBE) of a relaxed CoAgSe2 crystal.

Calculated values
SG	No. 119
energy relative to the elements, uncorrected	0.39	eV/atom

Unit cell a=7.1062 b=7.1062 c=7.1062 alpha=150.58 beta=150.58 gamma=42.09
Last column: magnetic moment on the atom in μB.
Atoms (fractional coordinates):
Ag  0.5000  0.5000  0.0000  0.01
Co  0.7500  0.2500  0.5000  2.00
Se  0.2500  0.7500  0.5000  0.19
Se  0.0000  0.0000  0.0000  0.08

# 10
The following is a DFT calculation (PBE) of a relaxed CoAg2Se2 crystal.

Calculated values
SG	No. 127
energy relative to the elements, uncorrected	0.14	eV/atom

Unit cell a=6.1815 b=6.1815 c=5.1270 alpha=90.00 beta=90.00 gamma=90.00
Last column: magnetic moment on the atom in μB.
Atoms (fractional coordinates):
Se  0.3427  0.8427  0.0000  0.02
Se  0.8427  0.6573  0.0000  0.02
Se  0.6573  0.1573  0.0000  0.02
Se  0.1573  0.3427  0.0000  0.02
Ag  0.2690  0.7690  0.5000  0.01
Ag  0.7310  0.2310  0.5000  0.01
Ag  0.7690  0.7310  0.5000  0.01
Ag  0.2310  0.2690  0.5000  0.01
Co  0.0000  0.0000  0.0000  0.81
Co  0.5000  0.5000  0.0000  0.81

# 11
The following is a DFT calculation (PBE) of a relaxed Co2AgSe4 crystal.

Calculated values
SG	No. 227
energy relative to the elements, uncorrected	-0.25	eV/atom

Unit cell a=7.2857 b=7.2856 c=7.2850 alpha=120.01 beta=120.03 gamma=89.97
Atoms (fractional coordinates):
Co  0.6250  0.3750  0.2500
Co  0.6250  0.3750  0.7500
Co  0.6250  0.8750  0.2500
Co  0.1250  0.3750  0.7500
Se  0.3936  0.1809  0.7870
Se  0.8192  0.6064  0.2131
Se  0.8567  0.1439  0.7131
Se  0.4308  0.1436  0.2869
Se  0.8563  0.5691  0.7130
Se  0.3939  0.6066  0.2130
Se  0.3933  0.6061  0.7869
Se  0.8561  0.1434  0.2870
Ag  0.2501  0.7501  0.5000
Ag  0.9999  0.9999  0.0000

# 12
The following is a DFT calculation (PBE) of a relaxed CoAgSe3 crystal.

Calculated values
relative energy among the computed polymorphs	0.00	eV per formula unit
SG	No. 2
energy relative to the elements, uncorrected	-0.06	eV/atom

Unit cell a=6.3531 b=5.2472 c=7.5500 alpha=120.02 beta=81.54 gamma=90.48
Atoms (fractional coordinates):
Se  0.2204  0.3815  0.1710
Se  0.6994  0.2086  0.2864
Se  0.7793  0.1382  0.8279
Se  0.2207  0.8618  0.1721
Se  0.7797  0.6185  0.8290
Se  0.3006  0.7913  0.7136
Co  0.0000  0.0000  0.0000
Co  0.5000  0.0000  0.0000
Ag  0.3080  0.2037  0.5802
Ag  0.6920  0.7963  0.4198